No. 1
FeSi2Au after structural relaxation. Source: Alexandria, functional PBE.

Geometry as POSCAR:
```
FeSi2Au
1.0
-1.323 1.849 5.964
1.323 -1.849 5.964
1.323 1.849 -5.964
Fe Si Au
1 2 1
direct
0.000 0.000 0.000
0.537 0.537 0.000
0.842 0.342 0.500
0.216 0.716 0.500
```

Calculated values
calculated density	8.8	g/cm3
ΔE_f (raw)	-0.081	eV per atom
size of the total moment	0.00	μB/atom
raw total energy	-0.2105	hartree per atom

No. 2
Ta3TiO after structural relaxation. Source: Alexandria, functional PBE.

Geometry as POSCAR:
```
Ta3TiO
1.0
4.278 0.000 0.000
0.000 4.278 0.000
0.000 0.000 4.278
Ta Ti O
3 1 1
direct
0.000 0.000 0.500
0.000 0.500 0.000
0.500 0.000 0.000
0.500 0.500 0.500
0.000 0.000 0.000
```

Calculated values
calculated density	12.9	g/cm3
ΔE_f (raw)	-0.605	eV per atom
size of the total moment	0.00	μB/atom
raw total energy	-0.3780	hartree per atom